(A)
YPu2Ge after structural relaxation. Source: Alexandria, functional PBE.

Computed properties:
magnetic moment = 12.11 μB per cell
DOS(E_F) = 9.893 states/eV/f.u.

abc: 5.034 4.393 4.393
angles: 90.00 90.00 90.00
Last column: magnetic moment on the atom in μB.
Positions (direct):
Y: 0.500 0.000 0.000  0.21
Ge: 0.500 0.500 0.500  -0.11
Pu: 0.000 0.000 0.500  5.64
Pu: 0.000 0.500 0.000  5.64

(B)
YPu2Ge after structural relaxation. Source: Alexandria, functional PBE.

Computed properties:
magnetic moment = 11.92 μB per cell
DOS(E_F) = 14.825 states/eV/f.u.

abc: 3.497 3.497 10.586
angles: 80.49 80.49 60.00
Last column: magnetic moment on the atom in μB.
Positions (direct):
Y: 0.500 0.500 0.500  0.11
Ge: 0.000 0.000 0.000  -0.03
Pu: 0.263 0.263 0.211  5.46
Pu: 0.737 0.737 0.789  5.46

Result of the stability comparison: (B) is the least stable of them.

(A)
Pu2ZnGe3 after structural relaxation. Source: Alexandria, functional PBE.

Computed properties:
magnetic moment = 11.13 μB per cell
DOS(E_F) = 13.443 states/eV/f.u.

abc: 3.528 4.489 7.767
angles: 90.00 90.00 90.00
Last column: magnetic moment on the atom in μB.
Positions (direct):
Pu: 0.000 0.500 0.989  5.27
Pu: 0.000 0.000 0.511  5.28
Zn: 0.500 0.500 0.328  0.01
Ge: 0.500 0.000 0.839  -0.01
Ge: 0.500 0.000 0.174  -0.02
Ge: 0.500 0.500 0.658  -0.01

(B)
Pu2ZnGe3 after structural relaxation. Source: Alexandria, functional PBE.

Computed properties:
magnetic moment = 0.10 μB per cell
DOS(E_F) = 20.589 states/eV/f.u.

abc: 5.841 5.841 8.411
angles: 109.10 109.10 93.30
Last column: magnetic moment on the atom in μB.
Positions (direct):
Pu: 0.250 0.750 0.500  5.29
Pu: 0.760 0.760 0.000  -5.27
Pu: 0.750 0.250 0.500  5.29
Pu: 0.240 0.240 0.000  -5.27
Zn: 0.334 0.334 0.669  0.01
Zn: 0.666 0.666 0.331  0.01
Ge: 0.661 0.171 0.831  0.01
Ge: 0.829 0.339 0.169  0.01
Ge: 0.339 0.829 0.169  0.01
Ge: 0.171 0.661 0.831  0.01
Ge: 0.830 0.830 0.660  -0.01
Ge: 0.170 0.170 0.340  -0.01

Result of the stability comparison: (A) is the least stable of them.

(A)
Pu2Zn3Ge after structural relaxation. Source: Alexandria, functional PBE.

Computed properties:
magnetic moment = 0.29 μB per cell
DOS(E_F) = 12.071 states/eV/f.u.

abc: 9.228 9.406 7.553
angles: 72.56 52.35 60.62
Last column: magnetic moment on the atom in μB.
Positions (direct):
Pu: 0.889 0.500 0.221  -4.94
Pu: 0.139 0.000 0.721  -4.94
Pu: 0.861 0.000 0.279  -4.94
Pu: 0.611 0.500 0.779  -4.94
Pu: 0.359 0.000 0.282  5.00
Pu: 0.641 0.000 0.718  5.00
Pu: 0.391 0.500 0.218  5.00
Pu: 0.109 0.500 0.782  5.00
Zn: 0.333 0.843 0.997  0.00
Zn: 0.173 0.157 0.003  0.00
Zn: 0.824 0.843 0.003  0.00
Zn: 0.671 0.157 0.997  0.00
Zn: 0.417 0.657 0.503  0.00
Zn: 0.577 0.343 0.497  0.00
Zn: 0.926 0.657 0.497  0.00
Zn: 0.408 0.184 0.500  0.01
Zn: 0.658 0.684 0.000  0.01
Zn: 0.342 0.316 0.000  0.01
Zn: 0.092 0.816 0.500  0.01
Zn: 0.079 0.343 0.503  0.00
Ge: 0.589 0.821 0.500  0.01
Ge: 0.161 0.679 0.000  0.01
Ge: 0.911 0.179 0.500  0.01
Ge: 0.839 0.321 0.000  0.01

(B)
Pu2Zn3Ge after structural relaxation. Source: Alexandria, functional PBE.

Computed properties:
magnetic moment = 0.02 μB per cell
DOS(E_F) = 14.846 states/eV/f.u.

abc: 3.089 4.662 8.116
angles: 90.00 90.00 90.00
Last column: magnetic moment on the atom in μB.
Positions (direct):
Pu: 0.000 0.500 0.004  5.37
Pu: 0.000 0.000 0.496  -5.38
Zn: 0.500 0.000 0.832  0.00
Zn: 0.500 0.000 0.160  0.00
Zn: 0.500 0.500 0.673  -0.01
Ge: 0.500 0.500 0.335  0.02

Result of the stability comparison: (B) is the least stable of them.

(A)
RbGe after structural relaxation. Source: Alexandria, functional PBE.

Computed properties:
magnetic moment = 0.00 μB per cell

abc: 5.220 5.234 12.870
angles: 90.00 97.52 90.00
Positions (direct):
Rb: 0.796 0.000 0.359
Rb: 0.204 0.000 0.641
Rb: 0.796 0.500 0.859
Rb: 0.204 0.500 0.141
Ge: 0.669 0.000 0.065
Ge: 0.331 0.000 0.935
Ge: 0.669 0.500 0.565
Ge: 0.331 0.500 0.435

(B)
RbGe after structural relaxation. Source: Alexandria, functional PBE.

Computed properties:
magnetic moment = 0.00 μB per cell
DOS(E_F) = 1.030 states/eV/f.u.

abc: 13.602 13.602 4.116
angles: 90.00 90.00 90.00
Positions (direct):
Rb: 0.731 0.500 0.000
Rb: 0.269 0.500 0.000
Rb: 0.500 0.269 0.000
Rb: 0.500 0.731 0.000
Rb: 0.231 0.000 0.500
Rb: 0.769 0.000 0.500
Rb: 0.000 0.769 0.500
Rb: 0.000 0.231 0.500
Ge: 0.213 0.213 0.000
Ge: 0.213 0.787 0.000
Ge: 0.787 0.213 0.000
Ge: 0.787 0.787 0.000
Ge: 0.713 0.713 0.500
Ge: 0.713 0.287 0.500
Ge: 0.287 0.713 0.500
Ge: 0.287 0.287 0.500

(C)
RbGe after structural relaxation. Source: Alexandria, functional PBE.

Computed properties:
magnetic moment = 0.00 μB per cell

abc: 7.514 7.514 7.078
angles: 90.00 90.00 90.00
Positions (direct):
Rb: 0.178 0.178 0.000
Rb: 0.678 0.322 0.500
Rb: 0.322 0.678 0.500
Rb: 0.822 0.822 0.000
Ge: 0.394 0.606 0.000
Ge: 0.894 0.894 0.500
Ge: 0.106 0.106 0.500
Ge: 0.606 0.394 0.000

Result of the stability comparison: (C) is the least stable of them.

(A)
Rb3Ge after structural relaxation. Source: Alexandria, functional PBE.

Computed properties:
magnetic moment = 2.10 μB per cell
DOS(E_F) = 2.810 states/eV/f.u.

abc: 8.718 8.718 6.214
angles: 90.00 90.00 120.00
Last column: magnetic moment on the atom in μB.
Positions (direct):
Rb: 0.187 0.373 0.250  0.01
Rb: 0.627 0.813 0.250  0.01
Rb: 0.187 0.813 0.250  0.01
Rb: 0.813 0.627 0.750  0.01
Rb: 0.373 0.187 0.750  0.01
Rb: 0.813 0.187 0.750  0.01
Ge: 0.333 0.667 0.750  0.37
Ge: 0.667 0.333 0.250  0.37

(B)
Rb3Ge after structural relaxation. Source: Alexandria, functional PBE.

Computed properties:
magnetic moment = 1.02 μB per cell
DOS(E_F) = 4.038 states/eV/f.u.

abc: 6.424 6.424 6.424
angles: 120.35 120.35 89.40
Last column: magnetic moment on the atom in μB.
Positions (direct):
Rb: 0.750 0.250 0.500  0.01
Rb: 0.250 0.750 0.500  0.01
Rb: 0.500 0.500 0.000  0.00
Ge: 0.000 0.000 0.000  0.30

Result of the stability comparison: (A) is the least stable of them.

(A)
RbGe2 after structural relaxation. Source: Alexandria, functional PBE.

Computed properties:
magnetic moment = 0.00 μB per cell
DOS(E_F) = 4.054 states/eV/f.u.

abc: 6.042 6.042 6.042
angles: 60.00 60.00 60.00
Positions (direct):
Ge: 0.125 0.625 0.625
Ge: 0.625 0.125 0.625
Ge: 0.625 0.625 0.625
Ge: 0.625 0.625 0.125
Rb: 0.000 0.000 0.000
Rb: 0.250 0.250 0.250

(B)
RbGe2 after structural relaxation. Source: Alexandria, functional PBE.

Computed properties:
magnetic moment = 0.00 μB per cell
DOS(E_F) = 0.887 states/eV/f.u.

abc: 3.537 3.537 7.041
angles: 104.54 104.54 90.00
Positions (direct):
Ge: 0.703 0.703 0.407
Ge: 0.297 0.297 0.593
Rb: 0.000 0.000 0.000

Result of the stability comparison: (A) is the least stable of them.

(A)
RbGeRh3 after structural relaxation. Source: Alexandria, functional PBE.

Computed properties:
magnetic moment = 1.11 μB per cell
DOS(E_F) = 5.232 states/eV/f.u.

abc: 4.847 4.847 4.847
angles: 90.00 90.00 90.00
Last column: magnetic moment on the atom in μB.
Positions (direct):
Ge: 0.500 0.500 0.500  -0.03
Rh: 0.000 0.500 0.000  0.48
Rh: 0.000 0.000 0.500  0.29
Rh: 0.500 0.000 0.000  0.40
Rb: 0.000 0.000 0.000  0.00

(B)
RbGeRh3 after structural relaxation. Source: Alexandria, functional PBE.

Computed properties:
magnetic moment = 1.22 μB per cell
DOS(E_F) = 5.063 states/eV/f.u.

abc: 4.740 4.740 4.740
angles: 90.00 90.00 90.00
Last column: magnetic moment on the atom in μB.
Positions (direct):
Ge: 0.000 0.000 0.000  -0.03
Rh: 0.000 0.500 0.000  0.44
Rh: 0.000 0.000 0.500  0.53
Rh: 0.500 0.000 0.000  0.29
Rb: 0.500 0.500 0.500  -0.01

Result of the stability comparison: (A) is the least stable of them.

(A)
RbGeRu3 after structural relaxation. Source: Alexandria, functional PBE.

Computed properties:
magnetic moment = 4.50 μB per cell
DOS(E_F) = 5.768 states/eV/f.u.

abc: 4.791 4.791 4.791
angles: 90.00 90.00 90.00
Last column: magnetic moment on the atom in μB.
Positions (direct):
Ru: 0.000 0.500 0.000  1.54
Ru: 0.000 0.000 0.500  1.59
Ru: 0.500 0.000 0.000  1.18
Ge: 0.000 0.000 0.000  -0.08
Rb: 0.500 0.500 0.500  0.01

(B)
RbGeRu3 after structural relaxation. Source: Alexandria, functional PBE.

Computed properties:
magnetic moment = 4.45 μB per cell
DOS(E_F) = 9.750 states/eV/f.u.

abc: 4.823 4.823 4.823
angles: 90.00 90.00 90.00
Last column: magnetic moment on the atom in μB.
Positions (direct):
Ru: 0.000 0.500 0.000  1.67
Ru: 0.000 0.000 0.500  1.38
Ru: 0.500 0.000 0.000  1.43
Ge: 0.500 0.500 0.500  -0.10
Rb: 0.000 0.000 0.000  0.05

Result of the stability comparison: (B) is the least stable of them.

(A)
Rb3GeS3 after structural relaxation. Source: Alexandria, functional PBE.

Computed properties:
magnetic moment = 1.32 μB per cell
DOS(E_F) = 3.718 states/eV/f.u.

abc: 6.643 9.951 9.951
angles: 119.82 90.00 90.00
Last column: magnetic moment on the atom in μB.
Positions (direct):
Rb: 0.250 0.631 0.815  0.01
Rb: 0.250 0.184 0.369  0.01
Rb: 0.250 0.184 0.817  0.01
Rb: 0.750 0.369 0.185  0.01
Rb: 0.750 0.816 0.631  0.01
Rb: 0.750 0.816 0.183  0.01
Ge: 0.750 0.333 0.667  0.13
Ge: 0.250 0.667 0.333  0.13
S: 0.750 0.591 0.795  0.04
S: 0.750 0.204 0.409  0.04
S: 0.750 0.204 0.797  0.04
S: 0.250 0.409 0.205  0.04
S: 0.250 0.796 0.591  0.04
S: 0.250 0.796 0.203  0.04

(B)
Rb3GeS3 after structural relaxation. Source: Alexandria, functional PBE.

Computed properties:
magnetic moment = 0.00 μB per cell
DOS(E_F) = 2.595 states/eV/f.u.

abc: 7.151 10.483 13.268
angles: 90.00 90.00 109.94
Positions (direct):
Rb: 0.650 0.000 0.837
Rb: 0.850 0.000 0.337
Rb: 0.150 0.000 0.663
Rb: 0.350 0.000 0.163
Rb: 0.978 0.647 0.369
Rb: 0.522 0.353 0.869
Rb: 0.831 0.353 0.131
Rb: 0.669 0.647 0.631
Rb: 0.022 0.353 0.631
Rb: 0.478 0.647 0.131
Rb: 0.169 0.647 0.869
Rb: 0.331 0.353 0.369
Ge: 0.417 0.835 0.500
Ge: 0.083 0.165 0.000
Ge: 0.583 0.165 0.500
Ge: 0.917 0.835 0.000
S: 0.213 0.000 0.912
S: 0.287 0.000 0.412
S: 0.713 0.000 0.588
S: 0.787 0.000 0.088
S: 0.509 0.696 0.387
S: 0.991 0.304 0.887
S: 0.313 0.304 0.113
S: 0.187 0.696 0.613
S: 0.491 0.304 0.613
S: 0.009 0.696 0.113
S: 0.687 0.696 0.887
S: 0.813 0.304 0.387

Result of the stability comparison: (A) is the least stable of them.

(A)
RbGe3S after structural relaxation. Source: Alexandria, functional PBE.

Computed properties:
magnetic moment = 0.00 μB per cell
DOS(E_F) = 2.862 states/eV/f.u.

abc: 5.187 5.187 5.187
angles: 90.00 90.00 90.00
Positions (direct):
Ge: 0.000 0.500 0.000
Ge: 0.000 0.000 0.500
Ge: 0.500 0.000 0.000
S: 0.000 0.000 0.000
Rb: 0.500 0.500 0.500

(B)
RbGe3S after structural relaxation. Source: Alexandria, functional PBE.

Computed properties:
magnetic moment = 1.69 μB per cell
DOS(E_F) = 8.787 states/eV/f.u.

abc: 5.763 5.763 5.763
angles: 90.00 90.00 90.00
Last column: magnetic moment on the atom in μB.
Positions (direct):
Ge: 0.000 0.500 0.000  0.32
Ge: 0.000 0.000 0.500  0.15
Ge: 0.500 0.000 0.000  0.23
S: 0.500 0.500 0.500  -0.04
Rb: 0.000 0.000 0.000  0.10

Result of the stability comparison: (B) is the least stable of them.

(A)
Rb2GeS2 after structural relaxation. Source: Alexandria, functional PBE.

Computed properties:
magnetic moment = 0.00 μB per cell
DOS(E_F) = 2.107 states/eV/f.u.

abc: 7.612 7.612 5.022
angles: 90.00 90.00 90.00
Positions (direct):
Ge: 0.000 0.000 0.000
Ge: 0.500 0.500 0.000
S: 0.318 0.818 0.000
S: 0.818 0.682 0.000
S: 0.682 0.182 0.000
S: 0.182 0.318 0.000
Rb: 0.145 0.645 0.500
Rb: 0.645 0.855 0.500
Rb: 0.855 0.355 0.500
Rb: 0.355 0.145 0.500

(B)
Rb2GeS2 after structural relaxation. Source: Alexandria, functional PBE.

Computed properties:
magnetic moment = 0.00 μB per cell

abc: 6.652 8.134 7.226
angles: 83.67 90.00 114.14
Positions (direct):
Rb: 0.640 0.280 0.664
Rb: 0.360 0.720 0.336
Rb: 0.929 0.859 0.762
Rb: 0.071 0.141 0.238
Ge: 0.259 0.517 0.898
Ge: 0.741 0.483 0.102
S: 0.162 0.324 0.681
S: 0.838 0.676 0.319
S: 0.597 0.194 0.227
S: 0.403 0.806 0.773

Result of the stability comparison: (A) is the least stable of them.